The following is a DFT calculation (GGA+U) of an optimized crystal structure of K3NpMn2O8.

```
14
Lattice="5.998 0.000 0.000 -2.999 5.195 0.000 0.000 0.000 7.718" Properties=species:S:1:pos:R:3 pbc="T T T"
K 0.000 0.000 0.000
K 0.000 3.463 5.399
K 2.999 1.732 2.320
Np 0.000 0.000 3.859
Mn 0.000 3.463 1.921
Mn 2.999 1.732 5.797
O 0.000 1.668 2.629
O -1.555 4.361 2.629
O 1.444 0.834 5.090
O 0.000 3.463 0.209
O 2.999 1.732 7.510
O 1.555 4.361 2.629
O 4.554 0.834 5.090
O 2.999 3.527 5.090
```

Calculated values
The value obtained for the total magnetization is 8.0 μB per formula unit. Its total energy is -0.253 Ha/atom.